This record from the Alexandria database describes a relaxed PmWO4F crystal. The functional is PBE with a Hubbard U.

Summary:
E: -106.1 eV/cell
V: 254.3 Å³ per cell
Mass density: 5.379 g cm⁻³

Cell lengths 6.219, 6.219, 7.164 Å; angles 75.63, 75.63, 75.09 degrees
Fractional coordinates of all 14 atoms:
Pm1 0.204 0.204 0.892
Pm2 0.796 0.796 0.108
W1 0.652 0.652 0.721
W2 0.348 0.348 0.279
O1 0.264 0.264 0.540
O2 0.736 0.736 0.460
O3 0.106 0.479 0.159
O4 0.540 0.540 0.221
O5 0.521 0.894 0.841
O6 0.479 0.106 0.159
O7 0.460 0.460 0.779
O8 0.894 0.521 0.841
F1 0.012 0.012 0.172
F2 0.988 0.988 0.828